The following is a GGA+U calculation of NaPrCoO4 after structural relaxation, from Alexandria.

Lattice parameters (Å, degrees): 5.7640 5.2745 7.5138 90.00 104.11 90.00
Closest atoms and distances in Å follow each position.
Atoms (fractional coordinates):
Na1 0.3348 0.7500 0.8529  4 O 2.31-2.47
Na2 0.6652 0.2500 0.1471  4 O 2.31-2.47
Pr1 0.7514 0.7500 0.4642  6 O 2.38-2.50
Pr2 0.2486 0.2500 0.5358  6 O 2.38-2.50
Co1 0.1914 0.7500 0.2680  3 O 1.74-1.76
Co2 0.8086 0.2500 0.7320  3 O 1.74-1.76
O1 0.0078 0.4950 0.7107  1 Co 1.76
O2 0.9922 0.9950 0.2893  1 Co 1.76
O3 0.9922 0.5050 0.2893  1 Co 1.76
O4 0.0078 0.0050 0.7107  1 Co 1.76
O5 0.4349 0.7500 0.1702  1 Co 1.74
O6 0.5651 0.2500 0.8298  1 Co 1.74
O7 0.3690 0.7500 0.5315  1 Co 1.99
O8 0.6310 0.2500 0.4685  1 Co 1.99

## Properties
uncorrected energy = -6.2351 eV/atom
theoretical density = 4.3 g/cm3
symmetry = P2_1/m, No. 11